Record 1
This record from Alexandria via LeMat-Bulk describes a geometry-optimized CrAgAs structure. The functional is GGA-PBE.

The structure belongs to space group P3m1 (No. 156); the cell edges are 4.1191, 4.1191 and 3.7112 Å and the angles 90.00°, 90.00° and 120.00°. The inequivalent atoms are Cr at (0.0000, 0.0000, 0.0000), Ag at (0.3333, 0.6667, 0.4274) and As at (0.6667, 0.3333, 0.7971).

The calculation puts the total magnetization at 3.3 Bohr magnetons per cell. For the formation energy, the calculation gives 0.2993 eV per atom.

---

Record 2
This record from Alexandria via LeMat-Bulk describes a geometry-optimized Cr2AgAs structure. The functional is GGA-PBE.

The structure belongs to space group C2/m (No. 12); the cell edges are 9.390, 3.054 and 4.611 Å and the angles 90.00°, 114.67° and 90.00°. The inequivalent atoms are Cr at (0.226, 0.000, 0.163), Ag at (0.000, 0.000, 0.500) and As at (0.000, 0.500, 0.000).

The calculation puts the total magnetization at 0.0 Bohr magnetons per cell. For the formation energy, the calculation gives 0.4793 eV per atom.

---

What is the formula in the first record?
CrAgAs